Entry from OQMD: an optimized crystal structure of Ba2GdCl7 (PBE).

Structure (extended XYZ):
```
40
Lattice="6.8834 0.0000 0.0000 0.0000 15.6428 0.0000 -0.1436 0.0000 10.6152" Properties=species:S:1:pos:R:3 pbc="T T T"
Ba 1.7525 4.3728 5.8445
Ba 5.0026 0.9568 3.4462
Ba 1.8243 3.4486 0.5369
Ba 1.7372 14.6859 7.1690
Ba 1.8090 8.7782 1.8614
Ba 4.9155 12.1942 10.0783
Ba 4.9308 6.8645 8.7538
Ba 4.9873 11.2700 4.7707
Cl 3.4682 3.7895 3.2255
Cl 3.2998 14.0056 4.4043
Cl 5.9436 14.5454 1.3094
Cl 0.0029 6.1952 0.7586
Cl 6.7369 9.4476 9.8566
Cl 6.8087 14.0166 4.5490
Cl 5.8718 8.9187 6.6170
Cl 6.8390 11.3722 2.1572
Cl 2.0207 0.6501 2.2371
Cl 3.5118 6.1842 0.9033
Cl 4.7909 8.4715 3.0705
Cl 3.3434 11.6109 2.0821
Cl 1.8396 13.4310 10.2716
Cl 3.4400 1.6372 6.2109
Cl 0.8680 6.7240 3.9982
Cl -0.0689 1.6262 6.0662
Cl 0.7962 1.0974 9.3058
Cl 1.9489 7.1713 7.5447
Cl 1.9114 10.0331 4.9640
Cl 4.7191 14.9926 8.3781
Cl 6.7672 12.0920 7.4648
Cl 4.8284 5.6097 5.6512
Cl 3.2280 9.4586 9.7119
Cl -0.0274 3.5508 3.1504
Cl 4.9002 2.2117 0.3436
Cl 3.2716 11.8532 7.3897
Cl -0.0992 4.2706 8.4580
Cl 3.3964 4.0318 8.5331
Gd 1.4007 9.8070 7.6105
Gd 5.3391 5.8358 3.0047
Gd 1.4725 13.6572 2.3029
Gd 5.2673 1.9856 8.3123
```

Total energy in eV per atom: -4.59
Calculated density in g cm⁻³: 3.952
Magnetic moment in μB per formula unit: 0.0